i) # CsBa3Li

CsBa3Li after structural relaxation (PBE, the Alexandria database).

Output
Space-group type: Pm-3m
Theoretical density (g cm⁻³): 2.67
Fermi-level density of states (states/eV per cell): 6.00

a b c (Å): 6.9991 6.9991 6.9991
angles (deg): 90.00 90.00 90.00
Sites, in units of the cell vectors:
Cs 0.0000 0.0000 0.0000
Ba 0.0000 0.5000 0.5000
Ba 0.5000 0.0000 0.5000
Ba 0.5000 0.5000 0.0000
Li 0.5000 0.5000 0.5000

***

ii) # CsBa3Li

CsBa3Li after structural relaxation (PBE, the Alexandria database).

Output
Space-group type: Pm-3m
Theoretical density (g cm⁻³): 3.04
Fermi-level density of states (states/eV per cell): 11.34

a b c (Å): 6.7059 6.7059 6.7059
angles (deg): 90.00 90.00 90.00
Sites, in units of the cell vectors:
Cs 0.0000 0.0000 0.0000
Ba 0.0000 0.0000 0.5000
Ba 0.0000 0.5000 0.0000
Ba 0.5000 0.0000 0.0000
Li 0.5000 0.5000 0.5000

***

We find i) to be the most stable, with the next structure 51.5 kJ/mol of atoms higher.

***

i) # CsRbBa2Li

CsRbBa2Li after structural relaxation (PBE, the Alexandria database).

Output
Space-group type: P4/mmm
Theoretical density (g cm⁻³): 2.26
Fermi-level density of states (states/eV per cell): 7.12

a b c (Å): 6.9786 6.9786 7.5412
angles (deg): 90.00 90.00 90.00
Sites, in units of the cell vectors:
Cs 0.0000 0.0000 0.0000
Rb 0.5000 0.5000 0.0000
Ba 0.0000 0.5000 0.5000
Ba 0.5000 0.0000 0.5000
Li 0.5000 0.5000 0.5000

***

ii) # CsRbBa2Li

CsRbBa2Li after structural relaxation (PBE, the Alexandria database).

Output
Space-group type: P4/mmm
Theoretical density (g cm⁻³): 2.24
Fermi-level density of states (states/eV per cell): 5.91

a b c (Å): 6.9859 6.9859 7.5918
angles (deg): 90.00 90.00 90.00
Sites, in units of the cell vectors:
Cs 0.0000 0.0000 0.0000
Rb 0.5000 0.5000 0.0000
Ba 0.0000 0.5000 0.5000
Ba 0.5000 0.0000 0.5000
Li 0.0000 0.0000 0.5000

***

We find i) to be the most stable, with the next structure 0.9 kJ/mol of atoms higher.

***

i) # CsBaMg2

CsBaMg2 after structural relaxation (PBE, the Alexandria database).

Output
Space-group type: Fm-3m
Theoretical density (g cm⁻³): 2.83
Fermi-level density of states (states/eV per cell): 5.77

a b c (Å): 6.4234 6.4234 6.4234
angles (deg): 60.00 60.00 60.00
Sites, in units of the cell vectors:
Cs 0.0000 0.0000 0.0000
Ba 0.5000 0.5000 0.5000
Mg 0.2500 0.2500 0.2500
Mg 0.7500 0.7500 0.7500

***

ii) # CsBaMg2

CsBaMg2 after structural relaxation (PBE, the Alexandria database).

Output
Space-group type: I-42d
Theoretical density (g cm⁻³): 2.59
Fermi-level density of states (states/eV per cell): 9.66

a b c (Å): 8.2081 8.2081 8.2081
angles (deg): 103.43 103.43 122.39
Sites, in units of the cell vectors:
Cs 0.0000 0.0000 0.0000
Cs 0.7500 0.2500 0.5000
Ba 0.2500 0.7500 0.5000
Ba 0.5000 0.5000 0.0000
Mg 0.1391 0.6250 0.0141
Mg 0.3750 0.3891 0.5141
Mg 0.6109 0.1250 0.9859
Mg 0.8750 0.8609 0.4859

***

We find i) to be the most stable, with the next structure 16.4 kJ/mol of atoms higher.

***

i) # CsBa3Mo

CsBa3Mo after structural relaxation (PBE, the Alexandria database).

Output
Space-group type: Pm-3m
Theoretical density (g cm⁻³): 4.27
Fermi-level density of states (states/eV per cell): 18.73

a b c (Å): 6.2912 6.2912 6.2912
angles (deg): 90.00 90.00 90.00
Sites, in units of the cell vectors:
Cs 0.0000 0.0000 0.0000
Ba 0.0000 0.0000 0.5000
Ba 0.0000 0.5000 0.0000
Ba 0.5000 0.0000 0.0000
Mo 0.5000 0.5000 0.5000

***

ii) # CsBa3Mo

CsBa3Mo after structural relaxation (PBE, the Alexandria database).

Output
Space-group type: Pm-3m
Theoretical density (g cm⁻³): 4.18
Fermi-level density of states (states/eV per cell): 4.42

a b c (Å): 6.3395 6.3395 6.3395
angles (deg): 90.00 90.00 90.00
Sites, in units of the cell vectors:
Cs 0.0000 0.0000 0.0000
Ba 0.0000 0.5000 0.5000
Ba 0.5000 0.0000 0.5000
Ba 0.5000 0.5000 0.0000
Mo 0.5000 0.5000 0.5000

***

We find ii) to be the most stable, with the next structure 115.7 kJ/mol of atoms higher.